(1)
# Mg3NbPd | the Alexandria database | SCAN | single point on PBEsol structure
# ΔE_f	135.02	kJ per mole of atoms
# crystal system	cubic
# DOS at the Fermi energy	2.87	states/eV per cell
data_Mg3NbPd
_chemical_formula_sum 'Mg3 Nb1 Pd1'
_cell_length_a 5.1927
_cell_length_b 5.1927
_cell_length_c 5.1927
_cell_angle_alpha 90.00
_cell_angle_beta 90.00
_cell_angle_gamma 90.00
_symmetry_space_group_name_H-M 'P m -3 m'
_symmetry_Int_Tables_number 221
_symmetry_space_group_name_Hall '-P 4 2 3'
loop_
_atom_site_label
_atom_site_type_symbol
_atom_site_fract_x
_atom_site_fract_y
_atom_site_fract_z
_atom_site_occupancy
Mg1 Mg 0.0000 0.0000 0.5000 1
Nb1 Nb 0.0000 0.0000 0.0000 1
Pd1 Pd 0.5000 0.5000 0.5000 1

=====

(2)
# RbMg2Nb | the Alexandria database | SCAN | single point on PBEsol structure
# ΔE_f	91.17	kJ per mole of atoms
# crystal system	cubic
# DOS at the Fermi energy	10.30	states/eV per cell
data_RbMg2Nb
_chemical_formula_sum 'Rb4 Mg8 Nb4'
_cell_length_a 7.6038
_cell_length_b 7.6038
_cell_length_c 7.6038
_cell_angle_alpha 90.00
_cell_angle_beta 90.00
_cell_angle_gamma 90.00
_symmetry_space_group_name_H-M 'F m -3 m'
_symmetry_Int_Tables_number 225
_symmetry_space_group_name_Hall '-F 4 2 3'
loop_
_atom_site_label
_atom_site_type_symbol
_atom_site_fract_x
_atom_site_fract_y
_atom_site_fract_z
_atom_site_occupancy
Rb1 Rb 0.0000 0.0000 0.0000 1
Mg1 Mg 0.2500 0.2500 0.2500 1
Nb1 Nb 0.0000 0.0000 0.5000 1

=====

(3)
# Mg2NbRh | the Alexandria database | SCAN | single point on PBEsol structure
# ΔE_f	11.46	kJ per mole of atoms
# crystal system	cubic
# DOS at the Fermi energy	21.94	states/eV per cell
data_Mg2NbRh
_chemical_formula_sum 'Mg8 Nb4 Rh4'
_cell_length_a 6.4179
_cell_length_b 6.4179
_cell_length_c 6.4179
_cell_angle_alpha 90.00
_cell_angle_beta 90.00
_cell_angle_gamma 90.00
_symmetry_space_group_name_H-M 'F m -3 m'
_symmetry_Int_Tables_number 225
_symmetry_space_group_name_Hall '-F 4 2 3'
loop_
_atom_site_label
_atom_site_type_symbol
_atom_site_fract_x
_atom_site_fract_y
_atom_site_fract_z
_atom_site_occupancy
Mg1 Mg 0.2500 0.2500 0.2500 1
Nb1 Nb 0.0000 0.0000 0.0000 1
Rh1 Rh 0.0000 0.0000 0.5000 1

=====

(4)
# MgNb2Rh | the Alexandria database | SCAN | single point on PBEsol structure
# ΔE_f	14.71	kJ per mole of atoms
# crystal system	cubic
# DOS at the Fermi energy	21.40	states/eV per cell
data_MgNb2Rh
_chemical_formula_sum 'Mg4 Nb8 Rh4'
_cell_length_a 6.4354
_cell_length_b 6.4354
_cell_length_c 6.4354
_cell_angle_alpha 90.00
_cell_angle_beta 90.00
_cell_angle_gamma 90.00
_symmetry_space_group_name_H-M 'F m -3 m'
_symmetry_Int_Tables_number 225
_symmetry_space_group_name_Hall '-F 4 2 3'
loop_
_atom_site_label
_atom_site_type_symbol
_atom_site_fract_x
_atom_site_fract_y
_atom_site_fract_z
_atom_site_occupancy
Mg1 Mg 0.0000 0.0000 0.0000 1
Nb1 Nb 0.2500 0.2500 0.2500 1
Rh1 Rh 0.0000 0.0000 0.5000 1

=====

(5)
# MgScNbRh2 | the Alexandria database | SCAN | single point on PBEsol structure
# ΔE_f	55.44	kJ per mole of atoms
# crystal system	tetragonal
# DOS at the Fermi energy	2.90	states/eV per cell
data_MgScNbRh2
_chemical_formula_sum 'Mg1 Sc1 Nb1 Rh2'
_cell_length_a 4.7152
_cell_length_b 4.7152
_cell_length_c 4.8777
_cell_angle_alpha 90.00
_cell_angle_beta 90.00
_cell_angle_gamma 90.00
_symmetry_space_group_name_H-M 'P 4/m m m'
_symmetry_Int_Tables_number 123
_symmetry_space_group_name_Hall '-P 4 2'
loop_
_atom_site_label
_atom_site_type_symbol
_atom_site_fract_x
_atom_site_fract_y
_atom_site_fract_z
_atom_site_occupancy
Mg1 Mg 0.0000 0.0000 0.0000 1
Sc1 Sc 0.5000 0.5000 0.0000 1
Nb1 Nb 0.5000 0.5000 0.5000 1
Rh1 Rh 0.0000 0.5000 0.5000 1

=====

(6)
# Mg2NbTeRu | the Alexandria database | SCAN | single point on PBEsol structure
# formation energy without anion corrections	28.5	kJ/mol of atoms
# crystal system	tetragonal
# DOS at the Fermi energy	3.64	states/eV per cell
data_Mg2NbTeRu
_chemical_formula_sum 'Mg2 Nb1 Te1 Ru1'
_cell_length_a 4.9752
_cell_length_b 4.9752
_cell_length_c 4.6588
_cell_angle_alpha 90.00
_cell_angle_beta 90.00
_cell_angle_gamma 90.00
_symmetry_space_group_name_H-M 'P 4/m m m'
_symmetry_Int_Tables_number 123
_symmetry_space_group_name_Hall '-P 4 2'
loop_
_atom_site_label
_atom_site_type_symbol
_atom_site_fract_x
_atom_site_fract_y
_atom_site_fract_z
_atom_site_occupancy
Mg1 Mg 0.0000 0.5000 0.0000 1
Nb1 Nb 0.0000 0.0000 0.5000 1
Te1 Te 0.5000 0.5000 0.5000 1
Ru1 Ru 0.0000 0.0000 0.0000 1

=====

Ρ / Mg/m³: 3.2, 3.4, 6.1, 7.8, 5.6, 5.3